No. 1
RbLiTe2F: relaxed, PBE-GGA.

Structure (POSCAR):
```
RbLiTe2F
1.0
-1.4630 4.4863 0.8836
-1.9340 -2.1560 7.7447
4.4325 1.1636 1.4308
Li Te Rb F
1 2 1 1
direct
0.0000 0.0000 0.0000
0.5000 0.0000 0.0000
0.0000 0.0000 0.5000
0.0000 0.5000 0.0000
0.5000 0.5000 0.5000
```

Output
- Raw formation energy: -0.77 eV/atom
- Symmetry: P4/mmm (123)

=====

No. 2
YMnBe2: relaxed, PBE-GGA.

Structure (POSCAR):
```
YMnBe2
1.0
-0.9334 2.1962 1.6968
-2.0503 -1.7524 1.1397
4.3785 -1.9310 4.9080
Y Be Mn
1 2 1
direct
0.5000 0.5000 0.7543
0.5000 0.5000 0.2335
0.0000 0.0000 0.0778
0.0000 0.0000 0.4344
```

Output
- Polymorph energy (0 for the lowest one): 0.2696 eV per atom
- Symmetry: P4mm (99)
- Energy of formation from the pure elements: 0.296 eV per atom

=====

| no. | total DFT energy (no corrections) (eV/atom) |
| --- | --- |
| 1 | -2.974 |
| 2 | -5.475 |